4
Lattice="0.000 3.699 3.699 3.699 0.000 3.699 3.699 3.699 0.000" Properties=species:S:1:pos:R:3 comment="YCdIn2 (GGA-PBE, optimized geometry)" dft_energy_ev_per_atom=-3.389 magnetic_moment_mub_per_cell=0.007 pbc="T T T"
Y 0.000 0.000 0.000
Cd 1.850 1.850 1.850
In 3.699 3.699 3.699
In 5.549 5.549 5.549